Record 1
ScCrMo2Ru | PBE | relaxed

Lattice parameters (Å, degrees): 4.569 4.569 4.254 90.00 90.00 90.00
Space group P4/mmm (No. 123)
Unique sites:
Sc: 0.000 0.000 0.000
Cr: 0.000 0.000 0.500
Mo: 0.000 0.500 0.000
Ru: 0.500 0.500 0.500

Results
Calculated density: 7.3 g cm⁻³
Total magnetic moment: 0.84 μB per formula unit
Crystal system: tetragonal
Energy of formation from the pure elements: 2054 meV/atom
DFT total energy: -7.3250 eV per atom

Record 2
Zr4Sn3H | PBE | relaxed

Lattice parameters (Å, degrees): 8.575 7.445 5.660 90.00 90.00 90.00
Space group Pmn2_1 (No. 31)
Unique sites:
Zr: 0.000 0.083 0.000
Zr: 0.000 0.837 0.553
Zr: 0.181 0.203 0.519
Sn: 0.000 0.696 0.065
Sn: 0.216 0.394 0.014
H: 0.000 0.069 0.365

Results
Calculated density: 6.6 g cm⁻³
Total magnetic moment: 0.00 μB per formula unit
Crystal system: orthorhombic
DFT total energy: -6.2938 eV per atom

Record 3
MgZrAg2 | PBE | relaxed

Lattice parameters (Å, degrees): 2.971 4.742 5.771 90.00 104.24 90.00
Space group Pm (No. 6)
Unique sites:
Mg: 0.000 0.000 0.000
Zr: 0.685 0.500 0.351
Ag: 0.273 0.000 0.534
Ag: 0.409 0.500 0.833

Results
Calculated density: 7.0 g cm⁻³
Total magnetic moment: 0.00 μB per formula unit
Crystal system: monoclinic
Energy of formation from the pure elements: -51 meV/atom
DFT total energy: -4.0120 eV per atom

Record 4
Na7SnTe6 | PBE | relaxed

Lattice parameters (Å, degrees): 7.755 16.046 16.761 90.00 90.00 90.00
Space group Ibam (No. 72)
Unique sites:
Na: 0.000 0.000 0.250
Na: 0.115 0.286 0.114
Na: 0.216 0.021 0.000
Sn: 0.000 0.500 0.250
Te: 0.083 0.159 0.500
Te: 0.212 0.394 0.338

Results
Calculated density: 3.3 g cm⁻³
Formation energy from raw total energies: -655 meV per atom
Total magnetic moment: 0.00 μB per formula unit
Crystal system: orthorhombic
DFT total energy: -2.9470 eV per atom

Repeat the fourth record exactly.
Na7SnTe6 | PBE | relaxed

Lattice parameters (Å, degrees): 7.755 16.046 16.761 90.00 90.00 90.00
Space group Ibam (No. 72)
Unique sites:
Na: 0.000 0.000 0.250
Na: 0.115 0.286 0.114
Na: 0.216 0.021 0.000
Sn: 0.000 0.500 0.250
Te: 0.083 0.159 0.500
Te: 0.212 0.394 0.338

Results
Calculated density: 3.3 g cm⁻³
Formation energy from raw total energies: -655 meV per atom
Total magnetic moment: 0.00 μB per formula unit
Crystal system: orthorhombic
DFT total energy: -2.9470 eV per atom